1.
8
Lattice="-3.1454 3.1454 4.4904 3.1454 -3.1454 4.4904 3.1454 3.1454 -4.4904" Properties=species:S:1:pos:R:3 comment="KGa2H (PBE, optimized geometry)" space_group="No. 141" pbc="T T T"
K 3.1454 1.5727 1.1226
K 0.0000 1.5727 3.3678
Ga 0.0000 0.0000 0.0000
Ga 1.5727 1.5727 -2.2452
Ga 1.5727 -1.5727 2.2452
Ga 0.0000 3.1454 0.0000
H 3.1454 -1.5727 3.3678
H 0.0000 4.7181 1.1226

***

2.
15
Lattice="9.3603 0.0000 0.0000 -4.6801 8.1062 0.0000 0.0000 0.0000 6.6330" Properties=species:S:1:pos:R:3 comment="Nd8Dy6Pb (PBE, optimized geometry)" space_group="No. 147" formation_enthalpy_0k_ev_per_atom=0.07 pbc="T T T"
Nd -0.8956 2.2204 2.1455
Nd -2.3094 7.7716 2.1455
Nd 1.4751 1.8858 4.4875
Nd 0.0000 5.4042 2.4197
Nd 4.6801 2.7021 4.2133
Nd 3.2050 6.2204 2.1455
Nd 6.9896 0.3346 4.4875
Nd 5.5757 5.8858 4.4875
Dy -1.1745 3.6197 5.5597
Dy -0.9581 7.3136 5.5597
Dy 2.5475 2.8270 1.0733
Dy 2.1327 5.2792 5.5597
Dy 5.6383 0.7927 1.0733
Dy 5.8547 4.4865 1.0733
Pb 0.0000 0.0000 0.0000

***

3.
18
Lattice="4.1504 2.3962 6.2971 -4.1504 2.3962 6.2971 0.0000 -4.7925 6.2971" Properties=species:S:1:pos:R:3 comment="Ba2MnSi3Pt12 (PBE, optimized geometry)" space_group="No. 166" e_form_raw_ev_per_fu=-6.460 pbc="T T T"
Ba 0.0000 0.0000 2.1609
Ba 0.0000 0.0000 16.7304
Mn 0.0000 0.0000 9.4456
Si -2.0752 -1.1981 6.2971
Si -2.0752 1.1981 12.5942
Si 0.0000 2.3962 6.2971
Pt -2.0146 -1.1632 8.6220
Pt 0.0000 -2.1175 5.6539
Pt -1.8338 1.0587 5.6539
Pt 0.0000 -2.3263 10.2693
Pt -2.0146 1.1632 10.2693
Pt -1.8338 -1.0587 13.2373
Pt 1.8338 1.0587 5.6540
Pt 2.0146 -1.1632 8.6220
Pt 0.0000 2.3263 8.6220
Pt 1.8338 -1.0587 13.2373
Pt 0.0000 2.1175 13.2373
Pt 2.0146 1.1632 10.2693

***

4.
7
Lattice="-2.8771 2.8771 7.7542 2.8771 -2.8771 7.7542 2.8771 2.8771 -7.7542" Properties=species:S:1:pos:R:3 comment="Na4LiBr2 (PBE, optimized geometry)" space_group="No. 139" e_form_raw_ev_per_fu=-3.448 pbc="T T T"
Na 2.8771 0.0000 0.0000
Na 0.0000 0.0000 3.0766
Na 0.0000 2.8771 0.0000
Na 0.0000 0.0000 12.4318
Li 0.0000 0.0000 0.0000
Br 0.0000 0.0000 5.8530
Br 0.0000 0.0000 9.6554

***

5.
9
Lattice="5.5537 -2.1926 0.0000 5.5537 2.1926 0.0000 -2.8529 0.0000 7.8722" Properties=species:S:1:pos:R:3 comment="Sm3Tc2Ge4 (PBE, optimized geometry)" space_group="No. 12" formation_enthalpy_0k_ev_per_atom=-0.62 pbc="T T T"
Sm 0.0000 0.0000 0.0000
Sm 3.2966 0.0000 2.3671
Sm 4.9580 0.0000 5.5051
Tc 1.6976 0.0000 5.0520
Tc 6.5570 0.0000 2.8202
Ge -0.0876 0.0000 3.2162
Ge 0.6420 0.0000 7.2539
Ge 7.6126 0.0000 0.6183
Ge 8.3422 0.0000 4.6561

***

6.
18
Lattice="2.0799 -8.9355 0.0000 2.0799 8.9355 0.0000 0.0000 0.0000 12.8478" Properties=species:S:1:pos:R:3 comment="La2HoHgSe5 (PBE, optimized geometry)" space_group="No. 36" e_form_raw_ev_per_fu=-14.006 pbc="T T T"
La 2.0799 6.8100 6.4239
La 2.0799 6.5667 1.6017
La 2.0799 -6.5667 8.0256
La 2.0799 -6.8100 0.0000
Ho 2.0799 5.3938 10.5877
Ho 2.0799 -5.3938 4.1638
Hg 2.0799 0.7279 3.5293
Hg 2.0799 -0.7279 9.9532
Se 2.0799 8.1154 11.5725
Se 2.0799 3.7560 6.1542
Se 2.0799 3.4615 2.1321
Se 2.0799 2.5732 10.4904
Se 2.0799 0.0729 7.4903
Se 2.0799 -0.0729 1.0664
Se 2.0799 -2.5732 4.0665
Se 2.0799 -3.4615 8.5560
Se 2.0799 -3.7560 12.5781
Se 2.0799 -8.1154 5.1486

***

7.
9
Lattice="7.3869 0.0000 0.0000 -3.6934 6.3972 0.0000 0.0000 0.0000 2.9693" Properties=species:S:1:pos:R:3 comment="TiNb2Zn6 (PBE, optimized geometry)" space_group="No. 191" formation_enthalpy_0k_ev_per_atom=-0.08 pbc="T T T"
Ti 0.0000 0.0000 0.0000
Nb 0.0000 4.2648 0.0000
Nb 3.6934 2.1324 0.0000
Zn -1.2273 2.1257 1.4847
Zn -2.4662 4.2716 1.4847
Zn 2.4545 0.0000 1.4847
Zn 1.2273 2.1257 1.4847
Zn 4.9324 0.0000 1.4847
Zn 2.4662 4.2716 1.4847

***

8.
8
Lattice="-2.3647 2.3647 4.6032 2.3647 -2.3647 4.6032 2.3647 2.3647 -4.6032" Properties=species:S:1:pos:R:3 comment="Mg2ReRuN4 (PBE, optimized geometry)" space_group="No. 121" e_form_raw_ev_per_fu=-1.690 pbc="T T T"
Mg 2.3647 0.0000 2.3016
Mg 0.0000 2.3647 2.3016
Re 0.0000 0.0000 0.0000
Ru 0.0000 0.0000 4.6032
N 1.2456 -1.2456 3.5765
N 1.1191 1.1191 1.0267
N -1.2456 1.2456 3.5765
N 1.2456 1.2456 5.6298

***

9.
20
Lattice="-5.2882 6.1579 3.1357 5.2882 -6.1579 3.1357 5.2882 6.1579 -3.1357" Properties=species:S:1:pos:R:3 comment="Cd2Ga5Ag3 (PBE, optimized geometry)" space_group="No. 72" formation_enthalpy_0k_ev_per_atom=0.06 pbc="T T T"
Cd 1.2361 2.7581 0.0000
Cd 6.5243 3.3998 0.0000
Cd -1.2361 2.7581 3.1357
Cd 4.0522 3.3998 3.1357
Ga 9.0337 1.7530 0.0000
Ga 2.6946 0.0000 1.5678
Ga 5.2882 0.0000 1.5678
Ga 7.8819 0.0000 1.5678
Ga 3.7455 4.4049 0.0000
Ga 1.5428 1.7530 3.1357
Ga -2.5937 6.1579 1.5678
Ga 0.0000 6.1579 1.5678
Ga 2.5937 6.1579 1.5678
Ga -3.7455 4.4049 3.1357
Ag 4.0431 1.8508 0.0000
Ag 0.0000 0.0000 1.5678
Ag 4.0431 -1.8508 3.1357
Ag 1.2452 8.0087 0.0000
Ag 0.0000 0.0000 4.7035
Ag 1.2452 4.3071 3.1357

***

10.
12
Lattice="3.5153 -6.0892 0.0000 3.5153 6.0892 0.0000 -2.3434 0.0000 6.6306" Properties=species:S:1:pos:R:3 comment="Ca5LaS6 (PBE, optimized geometry)" space_group="No. 12" e_form_raw_ev_per_fu=-25.482 pbc="T T T"
Ca 0.0000 0.0000 0.0000
Ca 2.3436 4.0588 3.3153
Ca 3.5153 2.0334 0.0000
Ca 3.5153 -2.0334 0.0000
Ca 2.3436 -4.0588 3.3153
La 2.3436 0.0000 3.3153
S 1.1600 2.0499 1.6455
S -0.0233 0.0000 4.9886
S 1.1600 -2.0499 1.6455
S 3.5272 2.0499 4.9852
S 4.7105 0.0000 1.6420
S 3.5272 -2.0499 4.9852

***

11.
8
Lattice="-2.5270 2.5270 10.0742 2.5270 -2.5270 10.0742 2.5270 2.5270 -10.0742" Properties=species:S:1:pos:R:3 comment="RbTi2Sb (PBE, optimized geometry)" space_group="No. 141" e_form_raw_ev_per_fu=2.369 pbc="T T T"
Rb 2.5270 1.2635 2.5185
Rb 0.0000 1.2635 7.5556
Ti 0.0000 0.0000 0.0000
Ti 1.2635 1.2635 -5.0371
Ti 1.2635 -1.2635 5.0371
Ti 0.0000 2.5270 0.0000
Sb 2.5270 -1.2635 7.5556
Sb 0.0000 3.7905 2.5185

***

12.
4
Lattice="1.8848 1.0882 12.5779 -1.8848 1.0882 12.5779 0.0000 -2.1763 12.5779" Properties=species:S:1:pos:R:3 comment="Ac2DyZn (PBE, optimized geometry)" space_group="No. 166" formation_enthalpy_0k_ev_per_atom=0.30 pbc="T T T"
Ac 0.0000 0.0000 3.3067
Ac 0.0000 0.0000 34.4270
Dy 0.0000 0.0000 18.8669
Zn 0.0000 0.0000 0.0000

***

Number 1: total energy -18.97 eV per cell, magnetization 0.0 μB per formula unit. Number 2: total energy -68.48 eV per cell, magnetization 0.0 μB per formula unit. Number 3: total energy -108.23 eV per cell, magnetization 4.2 μB per formula unit. Number 4: total energy -13.98 eV per cell, magnetization 0.0 μB per formula unit. Number 5: total energy -58.95 eV per cell, magnetization 0.0 μB per formula unit. Number 6: total energy -92.33 eV per cell, magnetization 0.0 μB per formula unit. Number 7: total energy -36.40 eV per cell, magnetization 0.0 μB per formula unit. Number 8: total energy -59.90 eV per cell, magnetization 0.0 μB per formula unit. Number 9: total energy -49.74 eV per cell, magnetization 0.0 μB per formula unit. Number 10: total energy -65.18 eV per cell, magnetization 0.0 μB per formula unit. Number 11: total energy -37.02 eV per cell, magnetization 0.0 μB per formula unit. Number 12: total energy -12.89 eV per cell, magnetization 0.0 μB per formula unit.